<A>
Entry from Alexandria via LeMat-Bulk: BeIrCl2 after structural relaxation (GGA-PBE).

Summary:
Fermi-level density of states	2.92	states/eV/f.u.
volume	76.3	Å³ per cell

Cell lengths 2.911, 3.425, 7.703 Å; angles 83.33, 90.00, 90.00 degrees
Fractional coordinates of all 4 atoms:
Cl1 0.000 0.983 0.882
Cl2 0.500 0.444 0.330
Be1 0.500 0.772 0.702
Ir1 0.000 0.300 0.586

<B>
Entry from Alexandria via LeMat-Bulk: BeIrCl2 after structural relaxation (GGA-PBE).

Summary:
Fermi-level density of states	1.20	states/eV/f.u.
volume	63.7	Å³ per cell

Cell lengths 2.934, 5.498, 3.951 Å; angles 90.00, 90.00, 90.00 degrees
Fractional coordinates of all 4 atoms:
Cl1 0.500 0.500 0.000
Cl2 0.000 0.000 0.000
Ir1 0.500 0.000 0.500
Be1 0.000 0.500 0.500

<C>
Entry from Alexandria via LeMat-Bulk: BeIrCl2 after structural relaxation (GGA-PBE).

Summary:
Fermi-level density of states	2.00	states/eV/f.u.
volume	72.7	Å³ per cell

Cell lengths 3.079, 3.079, 7.665 Å; angles 90.00, 90.00, 90.00 degrees
Fractional coordinates of all 4 atoms:
Cl1 0.500 0.500 0.339
Cl2 0.000 0.000 0.887
Ir1 0.000 0.000 0.578
Be1 0.500 0.500 0.696

Tell me which of them is the most stable. Sure, it is <A>.

<A>
Entry from Alexandria via LeMat-Bulk: BeIrCl2 after structural relaxation (GGA-PBE).

Summary:
Fermi-level density of states	1.31	states/eV/f.u.
volume	77.9	Å³ per cell

Cell lengths 7.229, 7.229, 7.229 Å; angles 156.52, 148.78, 39.44 degrees
Fractional coordinates of all 4 atoms:
Ir1 0.453 0.453 0.000
Be1 0.322 0.822 0.500
Cl1 0.983 0.983 0.000
Cl2 0.742 0.242 0.500

<B>
Entry from Alexandria via LeMat-Bulk: BeIrCl2 after structural relaxation (GGA-PBE).

Summary:
Fermi-level density of states	3.30	states/eV/f.u.
volume	59.2	Å³ per cell

Cell lengths 7.473, 7.473, 7.473 Å; angles 23.70, 23.70, 23.70 degrees
Fractional coordinates of all 4 atoms:
Be1 0.500 0.500 0.500
Ir1 0.000 0.000 0.000
Cl1 0.893 0.893 0.893
Cl2 0.107 0.107 0.107

<C>
Entry from Alexandria via LeMat-Bulk: BeIrCl2 after structural relaxation (GGA-PBE).

Summary:
Fermi-level density of states	0.78	states/eV/f.u.
volume	82.3	Å³ per cell

Cell lengths 3.828, 3.828, 7.574 Å; angles 92.86, 92.86, 47.99 degrees
Each line ends with the local moment (μB).
Fractional coordinates of all 4 atoms:
Cl1 0.978 0.978 0.088  0.18
Cl2 0.691 0.691 0.627  0.03
Be1 0.278 0.278 0.456  -0.02
Ir1 0.553 0.553 0.329  0.75

Tell me which of them is the most stable. Sure, it is <C>.

<A>
Entry from Alexandria via LeMat-Bulk: Be3IrCl after structural relaxation (GGA-PBE).

Summary:
Fermi-level density of states	1.86	states/eV/f.u.
volume	62.6	Å³ per cell

Cell lengths 3.971, 3.971, 3.971 Å; angles 90.00, 90.00, 90.00 degrees
Fractional coordinates of all 5 atoms:
Cl1 0.000 0.000 0.000
Ir1 0.500 0.500 0.500
Be1 0.000 0.500 0.000
Be2 0.000 0.000 0.500
Be3 0.500 0.000 0.000

<B>
Entry from Alexandria via LeMat-Bulk: Be3IrCl after structural relaxation (GGA-PBE).

Summary:
Fermi-level density of states	2.18	states/eV/f.u.
volume	81.8	Å³ per cell

Cell lengths 4.342, 4.342, 4.342 Å; angles 90.00, 90.00, 90.00 degrees
Fractional coordinates of all 5 atoms:
Be1 0.000 0.000 0.500
Be2 0.500 0.000 0.000
Be3 0.000 0.500 0.000
Cl1 0.500 0.500 0.500
Ir1 0.000 0.000 0.000

Tell me which of them is the most stable. Sure, it is <B>.

<A>
Entry from Alexandria via LeMat-Bulk: BeIrSCl2 after structural relaxation (GGA-PBE).

Summary:
Fermi-level density of states	2.59	states/eV/f.u.
volume	108.8	Å³ per cell

Cell lengths 4.929, 4.929, 4.477 Å; angles 90.00, 90.00, 90.00 degrees
Fractional coordinates of all 5 atoms:
S1 0.000 0.000 0.500
Cl1 0.500 0.000 0.000
Cl2 0.000 0.500 0.000
Ir1 0.000 0.000 0.000
Be1 0.500 0.500 0.500

<B>
Entry from Alexandria via LeMat-Bulk: BeIrSCl2 after structural relaxation (GGA-PBE).

Summary:
Fermi-level density of states	3.63	states/eV/f.u.
volume	102.7	Å³ per cell

Cell lengths 3.951, 3.951, 6.581 Å; angles 90.00, 90.00, 90.00 degrees
Each line ends with the local moment (μB).
Fractional coordinates of all 5 atoms:
Cl1 0.000 0.500 0.000  0.02
Cl2 0.500 0.000 0.000  0.02
S1 0.000 0.000 0.500  0.11
Be1 0.000 0.000 0.000  0.00
Ir1 0.500 0.500 0.500  1.32

Tell me which of them is the most stable. Sure, it is <B>.

<A>
Entry from Alexandria via LeMat-Bulk: K2BeCl2 after structural relaxation (GGA-PBE).

Summary:
Fermi-level density of states	0.00	states/eV/f.u.
volume	249.2	Å³ per cell

Cell lengths 6.065, 6.065, 8.019 Å; angles 67.78, 67.78, 90.00 degrees
Fractional coordinates of all 5 atoms:
K1 0.716 0.716 0.568
K2 0.284 0.284 0.432
Cl1 0.250 0.750 0.500
Cl2 0.750 0.250 0.500
Be1 0.000 0.000 0.000

<B>
Entry from Alexandria via LeMat-Bulk: K2BeCl2 after structural relaxation (GGA-PBE).

Summary:
Fermi-level density of states	0.00	states/eV/f.u.
volume	306.5	Å³ per cell

Cell lengths 8.875, 8.875, 3.891 Å; angles 90.00, 90.00, 90.00 degrees
Fractional coordinates of all 10 atoms:
Be1 0.000 0.000 0.000
Be2 0.500 0.500 0.000
K1 0.145 0.355 0.000
K2 0.355 0.855 0.000
K3 0.645 0.145 0.000
K4 0.855 0.645 0.000
Cl1 0.654 0.846 0.500
Cl2 0.846 0.346 0.500
Cl3 0.154 0.654 0.500
Cl4 0.346 0.154 0.500

Tell me which of them is the most stable. Sure, it is <B>.

<A>
Entry from Alexandria via LeMat-Bulk: K2BeCl after structural relaxation (GGA-PBE).

Summary:
Fermi-level density of states	2.84	states/eV/f.u.
volume	142.1	Å³ per cell

Cell lengths 4.313, 4.313, 9.184 Å; angles 76.58, 76.58, 59.69 degrees
Fractional coordinates of all 4 atoms:
K1 0.511 0.511 0.469
K2 0.989 0.989 0.031
Cl1 0.250 0.250 0.250
Be1 0.750 0.750 0.750

<B>
Entry from Alexandria via LeMat-Bulk: K2BeCl after structural relaxation (GGA-PBE).

Summary:
Fermi-level density of states	3.62	states/eV/f.u.
volume	133.1	Å³ per cell

Cell lengths 5.731, 5.731, 5.731 Å; angles 60.00, 60.00, 60.00 degrees
Each line ends with the local moment (μB).
Fractional coordinates of all 4 atoms:
Be1 0.500 0.500 0.500  0.05
K1 0.000 0.000 0.000  0.01
K2 0.250 0.250 0.250  0.02
Cl1 0.750 0.750 0.750  0.03

Tell me which of them is the most stable. Sure, it is <A>.

<A>
Entry from Alexandria via LeMat-Bulk: KBe2Cl after structural relaxation (GGA-PBE).

Summary:
Fermi-level density of states	0.33	states/eV/f.u.
volume	87.6	Å³ per cell

Cell lengths 3.276, 3.276, 8.159 Å; angles 90.00, 90.00, 90.00 degrees
Fractional coordinates of all 4 atoms:
Be1 0.000 0.000 0.435
Be2 0.000 0.000 0.065
Cl1 0.500 0.500 0.250
K1 0.500 0.500 0.750

<B>
Entry from Alexandria via LeMat-Bulk: KBe2Cl after structural relaxation (GGA-PBE).

Summary:
Fermi-level density of states	1.18	states/eV/f.u.
volume	102.2	Å³ per cell

Cell lengths 7.302, 7.302, 7.302 Å; angles 149.13, 149.13, 44.22 degrees
Fractional coordinates of all 4 atoms:
K1 0.750 0.250 0.500
Be1 0.000 0.000 0.000
Be2 0.500 0.500 0.000
Cl1 0.250 0.750 0.500

Tell me which of them is the most stable. Sure, it is <B>.

<A>
Entry from Alexandria via LeMat-Bulk: KBe2Cl after structural relaxation (GGA-PBE).

Summary:
Fermi-level density of states	0.70	states/eV/f.u.
volume	107.1	Å³ per cell

Cell lengths 5.998, 5.998, 3.785 Å; angles 90.00, 90.00, 128.15 degrees
Fractional coordinates of all 4 atoms:
Cl1 0.500 0.000 0.500
K1 0.000 0.500 0.500
Be1 0.500 0.500 0.000
Be2 0.000 0.000 0.000

<B>
Entry from Alexandria via LeMat-Bulk: KBe2Cl after structural relaxation (GGA-PBE).

Summary:
Fermi-level density of states	0.63	states/eV/f.u.
volume	79.6	Å³ per cell

Cell lengths 3.363, 3.199, 8.828 Å; angles 56.97, 90.00, 90.00 degrees
Fractional coordinates of all 4 atoms:
Cl1 0.000 0.486 0.468
K1 0.500 0.599 0.725
Be1 0.000 0.915 0.182
Be2 0.500 0.500 0.125

Tell me which of them is the most stable. Sure, it is <B>.

<A>
Entry from Alexandria via LeMat-Bulk: KBe2Cl after structural relaxation (GGA-PBE).

Summary:
Fermi-level density of states	0.99	states/eV/f.u.
volume	93.2	Å³ per cell

Cell lengths 5.086, 5.086, 5.086 Å; angles 119.85, 119.85, 90.26 degrees
Fractional coordinates of all 4 atoms:
Be1 0.000 0.000 0.000
Be2 0.250 0.750 0.500
Cl1 0.500 0.500 0.000
K1 0.750 0.250 0.500

<B>
Entry from Alexandria via LeMat-Bulk: KBe2Cl after structural relaxation (GGA-PBE).

Summary:
Fermi-level density of states	0.43	states/eV/f.u.
volume	83.4	Å³ per cell

Cell lengths 3.291, 3.291, 8.956 Å; angles 90.00, 90.00, 120.72 degrees
Fractional coordinates of all 4 atoms:
Be1 0.000 0.000 0.056
Be2 0.000 0.000 0.444
K1 0.500 0.500 0.750
Cl1 0.500 0.500 0.250

Tell me which of them is the most stable. Sure, it is <A>.

<A>
Entry from Alexandria via LeMat-Bulk: KBe2Cl after structural relaxation (GGA-PBE).

Summary:
Fermi-level density of states	1.28	states/eV/f.u.
volume	112.0	Å³ per cell

Cell lengths 5.584, 5.584, 5.583 Å; angles 135.13, 106.47, 90.45 degrees
Fractional coordinates of all 4 atoms:
Be1 0.817 0.817 0.000
Be2 0.861 0.361 0.500
Cl1 0.555 0.555 0.000
K1 0.267 0.767 0.500

<B>
Entry from Alexandria via LeMat-Bulk: KBe2Cl after structural relaxation (GGA-PBE).

Summary:
Fermi-level density of states	1.06	states/eV/f.u.
volume	80.9	Å³ per cell

Cell lengths 9.084, 9.084, 9.084 Å; angles 20.56, 20.56, 20.56 degrees
Fractional coordinates of all 4 atoms:
Be1 0.520 0.520 0.520
Be2 0.980 0.980 0.980
Cl1 0.250 0.250 0.250
K1 0.750 0.750 0.750

Tell me which of them is the most stable. Sure, it is <A>.

<A>
Entry from Alexandria via LeMat-Bulk: KBe2Cl after structural relaxation (GGA-PBE).

Summary:
Fermi-level density of states	1.22	states/eV/f.u.
volume	97.0	Å³ per cell

Cell lengths 3.081, 4.491, 7.010 Å; angles 90.00, 90.00, 90.00 degrees
Fractional coordinates of all 4 atoms:
Cl1 0.500 0.000 0.500
K1 0.000 0.500 0.500
Be1 0.000 0.000 0.000
Be2 0.500 0.500 0.000

<B>
Entry from Alexandria via LeMat-Bulk: KBe2Cl after structural relaxation (GGA-PBE).

Summary:
Fermi-level density of states	0.07	states/eV/f.u.
volume	110.0	Å³ per cell

Cell lengths 5.378, 5.378, 5.378 Å; angles 60.00, 60.00, 60.00 degrees
Fractional coordinates of all 4 atoms:
K1 0.500 0.500 0.500
Be1 0.750 0.750 0.750
Be2 0.250 0.250 0.250
Cl1 0.000 0.000 0.000

<C>
Entry from Alexandria via LeMat-Bulk: KBe2Cl after structural relaxation (GGA-PBE).

Summary:
Fermi-level density of states	1.55	states/eV/f.u.
volume	90.1	Å³ per cell

Cell lengths 4.225, 4.225, 6.786 Å; angles 94.66, 94.66, 48.28 degrees
Fractional coordinates of all 4 atoms:
Cl1 0.392 0.392 0.465
Be1 0.051 0.051 0.112
Be2 0.347 0.347 0.163
K1 0.711 0.711 0.759

Tell me which of them is the most stable. Sure, it is <C>.

<A>
Entry from Alexandria via LeMat-Bulk: KBe3Cl after structural relaxation (GGA-PBE).

Summary:
Fermi-level density of states	0.00	states/eV/f.u.
volume	235.9	Å³ per cell

Cell lengths 6.178, 6.178, 6.178 Å; angles 90.00, 90.00, 90.00 degrees
Fractional coordinates of all 5 atoms:
Be1 0.000 0.000 0.500
Be2 0.500 0.000 0.000
Be3 0.000 0.500 0.000
Cl1 0.500 0.500 0.500
K1 0.000 0.000 0.000

<B>
Entry from Alexandria via LeMat-Bulk: KBe3Cl after structural relaxation (GGA-PBE).

Summary:
Fermi-level density of states	2.42	states/eV/f.u.
volume	116.0	Å³ per cell

Cell lengths 4.877, 4.877, 4.877 Å; angles 90.00, 90.00, 90.00 degrees
Fractional coordinates of all 5 atoms:
Be1 0.000 0.000 0.500
Be2 0.000 0.500 0.000
Be3 0.500 0.000 0.000
Cl1 0.000 0.000 0.000
K1 0.500 0.500 0.500

Tell me which of them is the most stable. Sure, it is <B>.

<A>
Entry from Alexandria via LeMat-Bulk: KBeP2Cl after structural relaxation (GGA-PBE).

Summary:
volume	288.2	Å³ per cell

Cell lengths 7.106, 7.106, 5.707 Å; angles 90.00, 90.00, 90.00 degrees
Each line ends with the local moment (μB).
Fractional coordinates of all 5 atoms:
P1 0.500 0.000 0.000  1.18
P2 0.000 0.500 0.000  1.18
Be1 0.500 0.500 0.500  0.04
K1 0.000 0.000 0.000  0.02
Cl1 0.000 0.000 0.500  0.06

<B>
Entry from Alexandria via LeMat-Bulk: KBeP2Cl after structural relaxation (GGA-PBE).

Summary:
Fermi-level density of states	0.74	states/eV/f.u.
volume	136.2	Å³ per cell

Cell lengths 4.152, 4.152, 7.898 Å; angles 90.00, 90.00, 90.00 degrees
Fractional coordinates of all 5 atoms:
P1 0.000 0.500 0.000
P2 0.500 0.000 0.000
Be1 0.000 0.000 0.000
Cl1 0.000 0.000 0.500
K1 0.500 0.500 0.500

Tell me which of them is the most stable. Sure, it is <B>.